DFT (PBE-GGA) results for a relaxed Ca3HfTh2P6 crystal.

abc: 7.067 7.067 7.096
angles: 99.60 99.60 120.02
Sites, in units of the cell vectors:
Ca  0.169  0.831  0.500
Ca  0.831  0.169  0.500
Ca  0.500  0.500  0.500
Hf  0.000  0.000  0.000
Th  0.334  0.666  0.000
Th  0.666  0.334  0.000
P  0.923  0.607  0.768
P  0.763  0.763  0.232
P  0.077  0.393  0.232
P  0.607  0.923  0.768
P  0.237  0.237  0.768
P  0.393  0.077  0.232

Properties
Calculated volume ... 289.3 Å³/cell
Energy ... -79.16 eV per formula unit
Space-group type ... C2/m, No. 12
Calculated formation energy ... -1325 meV per atom

DFT (PBE-GGA) results for a relaxed Ca6Bi2Rh crystal.

abc: 7.246 8.029 10.418
angles: 90.00 90.08 90.00
Sites, in units of the cell vectors:
Ca  0.909  0.978  0.245
Ca  0.820  0.698  0.547
Ca  0.814  0.685  0.956
Ca  0.686  0.185  0.544
Ca  0.680  0.198  0.953
Ca  0.591  0.478  0.255
Ca  0.091  0.022  0.755
Ca  0.180  0.302  0.453
Ca  0.186  0.315  0.044
Ca  0.314  0.815  0.456
Ca  0.320  0.802  0.047
Ca  0.409  0.522  0.745
Bi  0.969  0.412  0.748
Bi  0.531  0.912  0.752
Bi  0.469  0.088  0.248
Bi  0.031  0.588  0.252
Rh  0.500  0.500  0.000
Rh  0.000  0.000  0.500

Properties
Calculated volume ... 606.1 Å³/cell
Energy ... -32.01 eV per formula unit
Space-group type ... P2_1/c, No. 14
Calculated formation energy ... -543 meV per atom

DFT (PBE-GGA) results for a relaxed NiRh3I crystal.

abc: 4.582 4.582 4.582
angles: 90.00 90.00 90.00
Each line ends with the local moment (μB).
Sites, in units of the cell vectors:
I  0.500  0.500  0.500  0.11
Ni  0.000  0.000  0.000  0.93
Rh  0.000  0.500  0.000  0.99
Rh  0.000  0.000  0.500  1.15
Rh  0.500  0.000  0.000  0.65

Properties
Calculated volume ... 96.2 Å³/cell
Energy ... -23.93 eV per formula unit
Space-group type ... Pm-3m, No. 221
Raw formation energy ... 5.5 eV/f.u.

DFT (PBE-GGA) results for a relaxed In4Pb3 crystal.

abc: 5.033 7.082 6.286
angles: 91.89 113.60 90.00
Sites, in units of the cell vectors:
In  0.855  0.573  0.711
In  0.145  0.427  0.289
In  0.716  0.147  0.431
In  0.284  0.853  0.569
Pb  0.000  0.000  0.000
Pb  0.576  0.710  0.152
Pb  0.424  0.290  0.848

Properties
Calculated volume ... 205.2 Å³/cell
Energy ... -21.97 eV per formula unit
Space-group type ... C2/m, No. 12
Calculated formation energy ... 16 meV per atom

DFT (PBE-GGA) results for a relaxed CoNiPd crystal.

abc: 2.602 4.117 4.117
angles: 120.00 90.00 90.00
Each line ends with the local moment (μB).
Sites, in units of the cell vectors:
Ni  0.501  0.667  0.333  0.78
Co  0.499  0.333  0.667  1.96
Pd  0.000  0.000  0.000  0.29

Properties
Calculated volume ... 38.2 Å³/cell
Energy ... -17.76 eV per formula unit
Space-group type ... P3m1, No. 156
Calculated formation energy ... 108 meV per atom

DFT (PBE-GGA) results for a relaxed KHf2Pd2 crystal.

abc: 8.508 8.508 2.933
angles: 90.00 90.00 90.00
Sites, in units of the cell vectors:
K  0.000  0.000  0.000
K  0.500  0.500  0.000
Hf  0.372  0.872  0.000
Hf  0.872  0.628  0.000
Hf  0.628  0.128  0.000
Hf  0.128  0.372  0.000
Pd  0.164  0.664  0.500
Pd  0.664  0.836  0.500
Pd  0.836  0.336  0.500
Pd  0.336  0.164  0.500

Properties
Calculated volume ... 212.3 Å³/cell
Energy ... -32.07 eV per formula unit
Space-group type ... P4/mbm, No. 127
Calculated formation energy ... -136 meV per atom

DFT (PBE-GGA) results for a relaxed CeZn2Pd3 crystal.

abc: 4.435 4.435 12.599
angles: 90.00 90.00 120.00
Each line ends with the local moment (μB).
Sites, in units of the cell vectors:
Ce  0.000  0.000  0.250  0.64
Ce  0.000  0.000  0.750  0.64
Zn  0.667  0.333  0.422  0.01
Zn  0.333  0.667  0.578  0.01
Zn  0.333  0.667  0.922  0.01
Zn  0.667  0.333  0.078  0.01
Pd  0.000  0.000  0.500  0.01
Pd  0.000  0.000  0.000  0.01
Pd  0.667  0.333  0.627  0.00
Pd  0.333  0.667  0.127  0.00
Pd  0.667  0.333  0.873  0.00
Pd  0.333  0.667  0.373  0.00

Properties
Calculated volume ... 214.6 Å³/cell
Energy ... -27.70 eV per formula unit
Space-group type ... P6_3/mmc, No. 194
Calculated formation energy ... -607 meV per atom

DFT (PBE-GGA) results for a relaxed CeTc2 crystal.

abc: 3.032 3.032 6.431
angles: 103.63 103.63 90.00
Sites, in units of the cell vectors:
Tc  0.693  0.693  0.386
Tc  0.307  0.307  0.614
Ce  0.000  0.000  0.000

Properties
Calculated volume ... 55.7 Å³/cell
Energy ... -26.65 eV per formula unit
Space-group type ... I4/mmm, No. 139
Calculated formation energy ... 7 meV per atom

DFT (PBE-GGA) results for a relaxed HoThReNi crystal.

abc: 4.908 4.908 4.908
angles: 60.00 60.00 60.00
Sites, in units of the cell vectors:
Re  0.500  0.500  0.500
Ho  0.750  0.750  0.750
Th  0.250  0.250  0.250
Ni  0.000  0.000  0.000

Properties
Calculated volume ... 83.6 Å³/cell
Energy ... -30.64 eV per formula unit
Space-group type ... F-43m, No. 216
Calculated formation energy ... -102 meV per atom

DFT (PBE-GGA) results for a relaxed TaCr2Cl crystal.

abc: 4.530 4.530 3.036
angles: 90.00 90.00 101.83
Each line ends with the local moment (μB).
Sites, in units of the cell vectors:
Cr  0.000  0.000  0.000  2.13
Cr  0.500  0.500  0.000  2.13
Cl  0.000  0.500  0.500  -0.03
Ta  0.500  0.000  0.500  -0.57

Properties
Calculated volume ... 61.0 Å³/cell
Energy ... -30.08 eV per formula unit
Space-group type ... Cmmm, No. 65
Raw formation energy ... 2.9 eV/f.u.

DFT (PBE-GGA) results for a relaxed BaNaTa crystal.

abc: 3.508 5.939 19.361
angles: 90.00 90.00 90.00
Sites, in units of the cell vectors:
Na  0.751  0.250  0.460
Na  0.749  0.750  0.960
Na  0.249  0.750  0.540
Na  0.251  0.250  0.040
Ba  0.757  0.250  0.843
Ba  0.743  0.750  0.343
Ba  0.243  0.750  0.157
Ba  0.257  0.250  0.657
Ta  0.245  0.250  0.299
Ta  0.255  0.750  0.799
Ta  0.755  0.750  0.701
Ta  0.745  0.250  0.201

Properties
Calculated volume ... 403.4 Å³/cell
Energy ... -13.00 eV per formula unit
Space-group type ... Pnma, No. 62
Calculated formation energy ... 699 meV per atom

DFT (PBE-GGA) results for a relaxed BaIrOs4 crystal.

abc: 5.357 5.357 5.357
angles: 60.00 60.00 60.00
Sites, in units of the cell vectors:
Ba  0.750  0.750  0.750
Ir  0.000  0.000  0.000
Os  0.880  0.373  0.373
Os  0.373  0.373  0.880
Os  0.373  0.880  0.373
Os  0.373  0.373  0.373

Properties
Calculated volume ... 108.7 Å³/cell
Energy ... -49.05 eV per formula unit
Space-group type ... F-43m, No. 216
Calculated formation energy ... 1108 meV per atom

DFT (PBE-GGA) results for a relaxed V3Co2Rh2 crystal.

abc: 2.726 5.606 6.308
angles: 105.99 89.94 104.10
Sites, in units of the cell vectors:
V  0.000  0.000  0.000
V  0.733  0.467  0.159
V  0.267  0.533  0.841
Co  0.570  0.141  0.735
Co  0.430  0.859  0.265
Rh  0.865  0.731  0.582
Rh  0.135  0.269  0.418

Properties
Calculated volume ... 89.7 Å³/cell
Energy ... -57.23 eV per formula unit
Space-group type ... P-1, No. 2
Calculated formation energy ... -137 meV per atom

DFT (PBE-GGA) results for a relaxed SrTiReO6 crystal.

abc: 4.948 4.948 9.667
angles: 90.00 90.00 90.00
Each line ends with the local moment (μB).
Sites, in units of the cell vectors:
Sr  0.500  0.500  0.497  0.01
Sr  0.000  0.000  0.997  0.01
Ti  0.500  0.500  0.838  0.19
Ti  0.000  0.000  0.338  0.19
Re  0.500  0.500  0.164  0.64
Re  0.000  0.000  0.664  0.64
O  0.166  0.834  0.504  0.01
O  0.834  0.166  0.504  0.01
O  0.334  0.334  0.004  0.01
O  0.666  0.666  0.004  0.01
O  0.241  0.759  0.199  -0.01
O  0.759  0.241  0.199  -0.01
O  0.259  0.259  0.699  -0.01
O  0.741  0.741  0.699  -0.01
O  0.767  0.233  0.797  0.03
O  0.233  0.767  0.797  0.03
O  0.733  0.733  0.297  0.03
O  0.267  0.267  0.297  0.03

Properties
Calculated volume ... 236.7 Å³/cell
Energy ... -72.38 eV per formula unit
Space-group type ... P4_2nm, No. 102
Raw formation energy ... -20.6 eV/f.u.

DFT (PBE-GGA) results for a relaxed OsRuRh2 crystal.

abc: 2.699 3.889 5.382
angles: 90.00 90.00 90.00
Sites, in units of the cell vectors:
Rh  0.000  0.000  0.999
Rh  0.000  0.000  0.501
Os  0.500  0.500  0.750
Ru  0.500  0.500  0.250

Properties
Calculated volume ... 56.5 Å³/cell
Energy ... -34.85 eV per formula unit
Space-group type ... Pmmm, No. 47
Calculated formation energy ... 90 meV per atom

DFT (PBE-GGA) results for a relaxed Cd5In4Sn crystal.

abc: 3.279 3.279 23.558
angles: 90.00 90.00 90.00
Sites, in units of the cell vectors:
Cd  0.500  0.500  0.103
Cd  0.500  0.500  0.301
Cd  0.500  0.500  0.500
Cd  0.500  0.500  0.699
Cd  0.500  0.500  0.897
In  0.000  0.000  0.202
In  0.000  0.000  0.402
In  0.000  0.000  0.598
In  0.000  0.000  0.798
Sn  0.000  0.000  0.000

Properties
Calculated volume ... 253.4 Å³/cell
Energy ... -19.22 eV per formula unit
Space-group type ... P4/mmm, No. 123
Calculated formation energy ... 31 meV per atom

DFT (PBE-GGA) results for a relaxed CaMgF4 crystal.

abc: 6.172 6.172 6.172
angles: 71.86 71.86 112.17
Sites, in units of the cell vectors:
Ca  0.875  0.625  0.250
Ca  0.125  0.375  0.750
Mg  0.625  0.875  0.750
Mg  0.375  0.125  0.250
F  0.248  0.686  0.938
F  0.624  0.686  0.562
F  0.186  0.124  0.062
F  0.752  0.314  0.062
F  0.186  0.748  0.438
F  0.814  0.876  0.938
F  0.376  0.314  0.438
F  0.814  0.252  0.562

Properties
Calculated volume ... 180.7 Å³/cell
Energy ... -32.98 eV per formula unit
Space-group type ... I4_1/amd, No. 141
Raw formation energy ... -21.9 eV/f.u.

DFT (PBE-GGA) results for a relaxed YHg2Rh crystal.

abc: 8.307 8.307 8.307
angles: 25.92 25.92 25.92
Sites, in units of the cell vectors:
Hg  0.997  0.997  0.997
Hg  0.240  0.240  0.240
Rh  0.500  0.500  0.500
Y  0.763  0.763  0.763

Properties
Calculated volume ... 96.5 Å³/cell
Energy ... -15.27 eV per formula unit
Space-group type ... R3m, No. 160
Calculated formation energy ... -213 meV per atom

DFT (PBE-GGA) results for a relaxed FeCoRu2Pb crystal.

abc: 4.389 4.851 4.389
angles: 90.00 90.00 90.00
Each line ends with the local moment (μB).
Sites, in units of the cell vectors:
Pb  0.000  0.500  0.000  -0.04
Ru  0.000  0.000  0.500  0.15
Ru  0.500  0.000  0.000  0.26
Co  0.500  0.500  0.500  1.86
Fe  0.000  0.000  0.000  -0.08

Properties
Calculated volume ... 93.4 Å³/cell
Energy ... -30.58 eV per formula unit
Space-group type ... P4/mmm, No. 123
Calculated formation energy ... 1450 meV per atom

DFT (PBE-GGA) results for a relaxed NiPtN2 crystal.

abc: 5.984 5.984 5.984
angles: 30.14 30.14 30.14
Sites, in units of the cell vectors:
Ni  0.000  0.000  0.000
Pt  0.500  0.500  0.500
N  0.895  0.895  0.895
N  0.105  0.105  0.105

Properties
Calculated volume ... 47.9 Å³/cell
Energy ... -25.43 eV per formula unit
Space-group type ... R-3m, No. 166
Raw formation energy ... 3.0 eV/f.u.

DFT (PBE-GGA) results for a relaxed Li2Mg4Zn crystal.

abc: 4.826 4.826 7.370
angles: 70.89 70.89 60.00
Sites, in units of the cell vectors:
Li  0.715  0.715  0.854
Li  0.285  0.285  0.146
Mg  0.861  0.861  0.416
Mg  0.139  0.139  0.584
Mg  0.579  0.579  0.263
Mg  0.421  0.421  0.737
Zn  0.000  0.000  0.000

Properties
Calculated volume ... 137.6 Å³/cell
Energy ... -11.78 eV per formula unit
Space-group type ... R-3m, No. 166
Calculated formation energy ... -43 meV per atom

DFT (PBE-GGA) results for a relaxed RbBaP2 crystal.

abc: 5.587 5.587 5.587
angles: 60.00 60.00 60.00
Sites, in units of the cell vectors:
P  0.250  0.250  0.250
P  0.750  0.750  0.750
Ba  0.500  0.500  0.500
Rb  0.000  0.000  0.000

Properties
Calculated volume ... 123.3 Å³/cell
Energy ... -13.98 eV per formula unit
Space-group type ... Fm-3m, No. 225
Calculated formation energy ... -67 meV per atom

DFT (PBE-GGA) results for a relaxed Rb4Tl3AgI8 crystal.

abc: 10.125 10.116 10.270
angles: 120.28 119.54 90.00
Sites, in units of the cell vectors:
Rb  0.500  0.000  0.000
Rb  0.500  0.000  0.500
Rb  0.000  0.000  0.000
Rb  0.000  0.000  0.500
Tl  0.500  0.500  0.000
Tl  0.500  0.500  0.500
Tl  0.000  0.500  0.500
Ag  0.000  0.500  0.000
I  0.214  0.707  0.992
I  0.254  0.747  0.507
I  0.254  0.261  0.508
I  0.778  0.707  0.992
I  0.222  0.293  0.008
I  0.746  0.739  0.492
I  0.746  0.253  0.493
I  0.786  0.293  0.008

Properties
Calculated volume ... 746.0 Å³/cell
Energy ... -42.04 eV per formula unit
Space-group type ... C2/m, No. 12
Raw formation energy ... -15.8 eV/f.u.

DFT (PBE-GGA) results for a relaxed CaReP2N6 crystal.

abc: 4.963 6.772 6.772
angles: 93.11 83.47 83.47
Each line ends with the local moment (μB).
Sites, in units of the cell vectors:
Ca  0.250  0.906  0.094  0.01
Ca  0.750  0.094  0.906  0.01
Re  0.250  0.273  0.727  0.67
Re  0.750  0.727  0.273  0.67
P  0.214  0.776  0.618  0.01
P  0.286  0.382  0.224  0.01
P  0.786  0.224  0.382  0.01
P  0.714  0.618  0.776  0.01
N  0.189  0.987  0.751  0.04
N  0.311  0.249  0.013  0.04
N  0.811  0.013  0.249  0.04
N  0.689  0.751  0.987  0.04
N  0.397  0.796  0.406  -0.01
N  0.103  0.594  0.204  -0.01
N  0.603  0.204  0.594  -0.01
N  0.897  0.406  0.796  -0.01
N  0.890  0.727  0.593  0.01
N  0.610  0.407  0.273  0.01
N  0.110  0.273  0.407  0.01
N  0.390  0.593  0.727  0.01

Properties
Calculated volume ... 224.2 Å³/cell
Energy ... -78.32 eV per formula unit
Space-group type ... C2/c, No. 15
Raw formation energy ... -3.1 eV/f.u.